Entry 1:
The following is a DFT calculation (PBE) of an optimized crystal structure of LaSnC2Br.

The value obtained for the total energy is -18.92 eV for the cell shown. The calculation puts the magnetization at 1.00 μB per formula unit.

The space group is P4/mmm (No. 123) and the conventional cell measures 4.6449, 4.6449 and 5.1931 Å, with angles of 90.00, 90.00 and 90.00 degrees. The distinct sites, in fractional coordinates, are La at (0.0000, 0.0000, 0.0000), Sn at (0.5000, 0.5000, 0.0000), C at (0.0000, 0.5000, 0.5000) and Br at (0.5000, 0.5000, 0.5000).



Entry 2:
The following is a DFT calculation (PBE) of an optimized crystal structure of La2TaCBr.

The value obtained for the total energy is -26.27 eV for the cell shown. The calculation puts the magnetization at 2.75 μB per formula unit.

The space group is P4/mmm (No. 123) and the conventional cell measures 5.6874, 5.6874 and 4.0968 Å, with angles of 90.00, 90.00 and 90.00 degrees. The distinct sites, in fractional coordinates, are La at (0.0000, 0.5000, 0.0000), Ta at (0.0000, 0.0000, 0.5000), C at (0.5000, 0.5000, 0.5000) and Br at (0.5000, 0.5000, 0.0000).



Entry 3:
The following is a DFT calculation (PBE) of an optimized crystal structure of La4TeCBr2.

The value obtained for the total energy is -44.63 eV for the cell shown. The calculation puts the magnetization at 0.00 μB per formula unit.

The space group is P2/m (No. 10) and the conventional cell measures 7.6987, 4.1243 and 7.7836 Å, with angles of 90.00, 107.80 and 90.00 degrees. The distinct sites, in fractional coordinates, are La at (0.1963, 0.0000, 0.1918), La at (0.2119, 0.5000, 0.7988), Te at (0.0000, 0.0000, 0.5000), C at (0.0000, 0.5000, 0.0000), Br at (0.5000, 0.0000, 0.0000) and Br at (0.5000, 0.5000, 0.5000).



Entry 4:
The following is a DFT calculation (PBE) of an optimized crystal structure of LaThCBr.

The value obtained for the total energy is -53.40 eV for the cell shown. The calculation puts the magnetization at 0.00 μB per formula unit.

The space group is Cm (No. 8) and the conventional cell measures 6.5669, 3.8067 and 8.0518 Å, with angles of 90.00, 105.78 and 90.00 degrees. The distinct sites, in fractional coordinates, are La at (0.0000, 0.0000, 0.0000), Th at (0.2883, 0.5000, 0.3647), C at (0.3997, 0.0000, 0.1991) and Br at (0.2267, 0.0000, 0.6781).



Entry 5:
The following is a DFT calculation (PBE) of an optimized crystal structure of La2ThC2Br2.

The value obtained for the total energy is -88.03 eV for the cell shown. The calculation puts the magnetization at 0.00 μB per formula unit.

The space group is I4/mmm (No. 139) and the conventional cell measures 4.7809, 4.7809 and 15.7994 Å, with angles of 90.00, 90.00 and 90.00 degrees. The distinct sites, in fractional coordinates, are La at (0.0000, 0.0000, 0.0984), Th at (0.0000, 0.0000, 0.5000), C at (0.0000, 0.5000, 0.0000) and Br at (0.0000, 0.0000, 0.3059).



Entry 6:
The following is a DFT calculation (PBE) of an optimized crystal structure of La2TmC2Br2.

The value obtained for the total energy is -83.35 eV for the cell shown. The calculation puts the magnetization at 0.00 μB per formula unit.

The space group is I4/mmm (No. 139) and the conventional cell measures 4.5399, 4.5399 and 15.9307 Å, with angles of 90.00, 90.00 and 90.00 degrees. The distinct sites, in fractional coordinates, are La at (0.0000, 0.0000, 0.1000), Tm at (0.0000, 0.0000, 0.5000), C at (0.0000, 0.5000, 0.0000) and Br at (0.0000, 0.0000, 0.3138).



Entry 7:
The following is a DFT calculation (PBE) of an optimized crystal structure of LaYCBr.

The value obtained for the total energy is -77.97 eV for the cell shown. The calculation puts the magnetization at 0.00 μB per formula unit.

The space group is R3m (No. 160, hexagonal axes) and the conventional cell measures 3.7599, 3.7599 and 22.4758 Å, with angles of 90.00, 90.00 and 120.00 degrees. The distinct sites, in fractional coordinates, are La at (0.0000, 0.0000, 0.0000), Y at (0.0000, 0.0000, 0.2124), C at (0.0000, 0.0000, 0.6002) and Br at (0.0000, 0.0000, 0.7815).



Entry 8:
The following is a DFT calculation (PBE) of an optimized crystal structure of La2YC2Br2.

The value obtained for the total energy is -86.70 eV for the cell shown. The calculation puts the magnetization at 0.00 μB per formula unit.

The space group is I4/mmm (No. 139) and the conventional cell measures 4.5947, 4.5947 and 15.8399 Å, with angles of 90.00, 90.00 and 90.00 degrees. The distinct sites, in fractional coordinates, are La at (0.0000, 0.0000, 0.1001), Y at (0.0000, 0.0000, 0.5000), C at (0.0000, 0.5000, 0.0000) and Br at (0.0000, 0.0000, 0.3112).



Entry 9:
The following is a DFT calculation (PBE) of an optimized crystal structure of LiCBr2.

The value obtained for the total energy is -40.74 eV for the cell shown. The calculation puts the energy above the most stable polymorph in this dataset at 390 meV per atom. The calculation puts the magnetization at 1.00 μB per formula unit.

The space group is Fm-3m (No. 225) and the conventional cell measures 6.8108, 6.8108 and 6.8108 Å, with angles of 90.00, 90.00 and 90.00 degrees. The distinct sites, in fractional coordinates, are Li at (0.0000, 0.0000, 0.0000), C at (0.0000, 0.0000, 0.5000) and Br at (0.2500, 0.2500, 0.2500).



Entry 10:
The following is a DFT calculation (PBE) of an optimized crystal structure of LiC2Br.

The value obtained for the total energy is -53.02 eV for the cell shown. The calculation puts the energy above the most stable polymorph in this dataset at 0 meV per atom. The calculation puts the magnetization at 0.00 μB per formula unit.

The space group is I-42d (No. 122) and the conventional cell measures 5.2702, 5.2702 and 7.8002 Å, with angles of 90.00, 90.00 and 90.00 degrees. The distinct sites, in fractional coordinates, are Li at (0.0000, 0.0000, 0.0000), C at (0.2172, 0.2500, 0.6250) and Br at (0.0000, 0.0000, 0.5000).



Entry 11:
The following is a DFT calculation (PBE) of an optimized crystal structure of LiC2Br.

The value obtained for the total energy is -47.03 eV for the cell shown. The calculation puts the energy above the most stable polymorph in this dataset at 374 meV per atom. The calculation puts the magnetization at 0.00 μB per formula unit.

The space group is Fm-3m (No. 225) and the conventional cell measures 5.8074, 5.8074 and 5.8074 Å, with angles of 90.00, 90.00 and 90.00 degrees. The distinct sites, in fractional coordinates, are Li at (0.0000, 0.0000, 0.0000), C at (0.2500, 0.2500, 0.2500) and Br at (0.0000, 0.0000, 0.5000).



Entry 12:
The following is a DFT calculation (PBE) of an optimized crystal structure of LiC3Br.

The value obtained for the total energy is -14.72 eV for the cell shown. The calculation puts the energy above the most stable polymorph in this dataset at 62 meV per atom. The calculation puts the magnetization at 0.00 μB per formula unit.

The space group is Pm-3m (No. 221) and the conventional cell measures 4.1274, 4.1274 and 4.1274 Å, with angles of 90.00, 90.00 and 90.00 degrees. The distinct sites, in fractional coordinates, are Li at (0.0000, 0.0000, 0.0000), C at (0.0000, 0.5000, 0.5000) and Br at (0.5000, 0.5000, 0.5000).



Computed values of E_form (uncorrected) (unit: meV per atom) for the preceding records, in sequence: 2026, 1266, -1151, -864, -707, -793, -926, -748, 1074, 2195, 2569, 3308.